This record from Alexandria describes a geometry-optimized InRuRh2 structure. The functional is PBEsol.

The energy of formation from the pure elements comes out at 0.023 eV per atom.

The structure belongs to space group C2/m (No. 12); the cell edges are 8.992, 2.806 and 4.772 Å and the angles 90.00°, 100.18° and 90.00°. The asymmetric unit holds In at (0.000, 0.000, 0.000), Ru at (0.000, 0.500, 0.500) and Rh at (0.245, 0.000, 0.732).

***

This record from Alexandria describes a geometry-optimized InRuRh2 structure. The functional is PBEsol.

The energy of formation from the pure elements comes out at 0.042 eV per atom.

The structure belongs to space group P4mm (No. 99); the cell edges are 2.808, 2.808 and 7.522 Å and the angles 90.00°, 90.00° and 90.00°. The asymmetric unit holds In at (0.000, 0.000, 0.000), Ru at (0.500, 0.500, 0.728), Rh at (0.000, 0.000, 0.504) and Rh at (0.500, 0.500, 0.260).

***

This record from Alexandria describes a geometry-optimized InRh2S structure. The functional is PBEsol.

Its uncorrected formation energy is 90 meV/atom.

The structure belongs to space group Fm-3m (No. 225); the cell edges are 6.229, 6.229 and 6.229 Å and the angles 90.00°, 90.00° and 90.00°. The asymmetric unit holds In at (0.000, 0.000, 0.000), Rh at (0.250, 0.250, 0.250) and S at (0.000, 0.000, 0.500).

***

This record from Alexandria describes a geometry-optimized InRhS3 structure. The functional is PBEsol.

Its uncorrected formation energy is 122 meV/atom.

The structure belongs to space group Pm-3m (No. 221); the cell edges are 4.608, 4.608 and 4.608 Å and the angles 90.00°, 90.00° and 90.00°. The asymmetric unit holds In at (0.000, 0.000, 0.000), Rh at (0.500, 0.500, 0.500) and S at (0.000, 0.500, 0.500).

***

This record from Alexandria describes a geometry-optimized In2SbRhS structure. The functional is PBEsol.

Its uncorrected formation energy is 786 meV/atom.

The structure belongs to space group P4/mmm (No. 123); the cell edges are 4.930, 4.930 and 5.046 Å and the angles 90.00°, 90.00° and 90.00°. The asymmetric unit holds In at (0.000, 0.500, 0.000), Sb at (0.000, 0.000, 0.500), Rh at (0.500, 0.500, 0.500) and S at (0.000, 0.000, 0.000).

***

This record from Alexandria describes a geometry-optimized InSb3Rh structure. The functional is PBEsol.

Its uncorrected formation energy is 272 meV/atom.

The structure belongs to space group Pm-3m (No. 221); the cell edges are 5.124, 5.124 and 5.124 Å and the angles 90.00°, 90.00° and 90.00°. The asymmetric unit holds In at (0.000, 0.000, 0.000), Sb at (0.000, 0.500, 0.500) and Rh at (0.500, 0.500, 0.500).

***

| no. | ρ (g/cm³) |
| --- | --- |
| 1 | 11.8 |
| 2 | 11.8 |
| 3 | 9.7 |
| 4 | 5.3 |
| 5 | 6.6 |
| 6 | 7.2 |